Entry 1:
Density functional theory data (PBE) for an optimized crystal structure of MnNb2HRh.

Calculated values
**ρ**: 8.87 g cm⁻³
**Energy above the most stable polymorph in this dataset**: 0 meV per atom
**DOS(E_F)**: 4.31 states/eV per cell
**DFT total energy**: -8.16 eV per atom

a = 4.144 Å, b = 4.144 Å, c = 3.758 Å
α = 90.00°, β = 90.00°, γ = 90.00°
Space group P4/mmm (No. 123)
Inequivalent atoms, fractional coordinates:
Mn (0.000, 0.000, 0.000) [1 per cell]
Nb (0.000, 0.500, 0.500) [2 per cell]
H (0.000, 0.000, 0.500) [1 per cell]
Rh (0.500, 0.500, 0.000) [1 per cell]

---

Entry 2:
Density functional theory data (PBE) for an optimized crystal structure of MnNbHRh2.

Calculated values
**ρ**: 9.74 g cm⁻³
**Energy above the most stable polymorph in this dataset**: 0 meV per atom
**DOS(E_F)**: 3.57 states/eV per cell
**DFT total energy**: -7.76 eV per atom

a = 3.937 Å, b = 3.937 Å, c = 3.901 Å
α = 90.00°, β = 90.00°, γ = 90.00°
Space group P4/mmm (No. 123)
Inequivalent atoms, fractional coordinates:
Mn (0.000, 0.000, 0.000) [1 per cell]
Nb (0.500, 0.500, 0.000) [1 per cell]
H (0.000, 0.000, 0.500) [1 per cell]
Rh (0.000, 0.500, 0.500) [2 per cell]

---

Entry 3:
Density functional theory data (PBE) for an optimized crystal structure of MnNbHRh2.

Calculated values
**ρ**: 9.60 g cm⁻³
**Energy above the most stable polymorph in this dataset**: 65 meV per atom
**DOS(E_F)**: 4.25 states/eV per cell
**DFT total energy**: -7.69 eV per atom

a = 3.903 Å, b = 3.903 Å, c = 4.028 Å
α = 90.00°, β = 90.00°, γ = 90.00°
Space group P4/mmm (No. 123)
Inequivalent atoms, fractional coordinates:
Mn (0.000, 0.000, 0.000) [1 per cell]
Nb (0.500, 0.500, 0.000) [1 per cell]
H (0.500, 0.500, 0.500) [1 per cell]
Rh (0.000, 0.500, 0.500) [2 per cell]

---

Entry 4:
Density functional theory data (PBE) for an optimized crystal structure of MnNbHRh2.

Calculated values
**ρ**: 5.40 g cm⁻³
**Energy above the most stable polymorph in this dataset**: 1945 meV per atom
**DOS(E_F)**: 2.89 states/eV per cell
**DFT total energy**: -5.81 eV per atom

a = 4.717 Å, b = 4.717 Å, c = 4.905 Å
α = 90.00°, β = 90.00°, γ = 90.00°
Space group P4/mmm (No. 123)
Inequivalent atoms, fractional coordinates:
Mn (0.000, 0.000, 0.000) [1 per cell]
Nb (0.000, 0.000, 0.500) [1 per cell]
H (0.500, 0.500, 0.000) [1 per cell]
Rh (0.000, 0.500, 0.500) [2 per cell]

---

Entry 5:
Density functional theory data (PBE) for an optimized crystal structure of MnNb2HRh.

Calculated values
**ρ**: 8.67 g cm⁻³
**Energy above the most stable polymorph in this dataset**: 49 meV per atom
**DOS(E_F)**: 3.53 states/eV per cell
**DFT total energy**: -8.11 eV per atom

a = 4.066 Å, b = 4.066 Å, c = 3.992 Å
α = 90.00°, β = 90.00°, γ = 90.00°
Space group P4/mmm (No. 123)
Inequivalent atoms, fractional coordinates:
Mn (0.000, 0.000, 0.000) [1 per cell]
Nb (0.000, 0.500, 0.500) [2 per cell]
H (0.500, 0.500, 0.500) [1 per cell]
Rh (0.500, 0.500, 0.000) [1 per cell]

---

Entry 6:
Density functional theory data (PBE) for an optimized crystal structure of MnNb2HRu.

Calculated values
**ρ**: 8.68 g cm⁻³
**Energy above the most stable polymorph in this dataset**: 70 meV per atom
**DOS(E_F)**: 4.96 states/eV per cell
**DFT total energy**: -8.42 eV per atom

a = 4.233 Å, b = 4.233 Å, c = 3.659 Å
α = 90.00°, β = 90.00°, γ = 90.00°
Space group P4/mmm (No. 123)
Inequivalent atoms, fractional coordinates:
Mn (0.000, 0.000, 0.000) [1 per cell]
Nb (0.000, 0.500, 0.500) [2 per cell]
H (0.500, 0.500, 0.500) [1 per cell]
Ru (0.500, 0.500, 0.000) [1 per cell]